A relaxed ScP2Pd crystal, computed with PBE.

Cell: 4.477 4.477 4.477 Å, 60.00 60.00 60.00°
Positions (direct):
Sc 0.000 0.000 0.000
P 0.250 0.250 0.250
P 0.750 0.750 0.750
Pd 0.500 0.500 0.500

Properties
E above lowest polymorph, eV/atom: 0.053
Total moment, Bohr magnetons per cell: 0.00
Space-group type: Fm-3m, No. 225
VASP energy, eV/cell: -24.27
DFT formation energy, kJ/mol of formula units: -186



A relaxed ScTiN2F crystal, computed with PBE.

Cell: 4.144 4.144 3.782 Å, 90.00 90.00 90.00°
Positions (direct):
Sc 0.000 0.000 0.000
N 0.000 0.500 0.000
N 0.500 0.000 0.000
F 0.000 0.000 0.500
Ti 0.500 0.500 0.500

Properties
E above lowest polymorph, eV/atom: 0.767
Total moment, Bohr magnetons per cell: 0.00
E_form (uncorrected), eV per atom: -0.637
Space-group type: P4/mmm, No. 123
VASP energy, eV/cell: -35.93